{"formula": "U2Co3Si4Ru", "functional": "GGA-PBE", "state": "optimized geometry", "cell": [[3.953, 0.000, 0.000], [0.000, 3.953, 0.000], [0.000, 0.000, 9.415]], "species": ["U", "U", "Co", "Co", "Co", "Si", "Si", "Si", "Si", "Ru"], "frac_coords": [[0.500, 0.000, 0.247], [0.000, 0.500, 0.753], [0.000, 0.000, 0.500], [0.500, 0.000, 0.874], [0.000, 0.500, 0.126], [0.500, 0.500, 0.000], [0.000, 0.000, 0.000], [0.500, 0.000, 0.637], [0.000, 0.500, 0.363], [0.500, 0.500, 0.500]], "final_energy_ev_per_atom": -8.105, "raw_formation_energy_ev_per_atom": -0.6183}